(1)
# ZnCdCl2

ZnCdCl2 at its PBEsol-relaxed geometry (meta-GGA SCAN, Alexandria via LeMat-Bulk).

## Properties
DOS at the Fermi energy = 0.5 states/eV/f.u.
energy relative to the lowest polymorph listed for this composition = 87.8 meV per atom
total magnetic moment = 0.0 Bohr magnetons per cell
E_form (uncorrected) = -1.64 eV/f.u.
symmetry = P4/mmm, No. 123

a b c (Å): 3.2882 3.2882 8.6216
angles (deg): 90.00 90.00 90.00
Atoms (fractional coordinates):
Zn1 0.0000 0.0000 0.0000
Cd1 0.0000 0.0000 0.5000
Cl1 0.5000 0.5000 0.3182
Cl2 0.5000 0.5000 0.6818

(2)
# Zn3CdCl

Zn3CdCl at its PBEsol-relaxed geometry (meta-GGA SCAN, Alexandria via LeMat-Bulk).

## Properties
DOS at the Fermi energy = 2.8 states/eV/f.u.
total magnetic moment = 0.0 Bohr magnetons per cell
E_form (uncorrected) = 3.24 eV/f.u.
symmetry = Pm-3m, No. 221

a b c (Å): 4.8499 4.8499 4.8499
angles (deg): 90.00 90.00 90.00
Atoms (fractional coordinates):
Zn1 0.0000 0.0000 0.5000
Zn2 0.0000 0.5000 0.0000
Zn3 0.5000 0.0000 0.0000
Cd1 0.5000 0.5000 0.5000
Cl1 0.0000 0.0000 0.0000

(3)
# Zn2CdCl

Zn2CdCl at its PBEsol-relaxed geometry (meta-GGA SCAN, Alexandria via LeMat-Bulk).

## Properties
DOS at the Fermi energy = 3.2 states/eV/f.u.
energy relative to the lowest polymorph listed for this composition = 172.3 meV per atom
total magnetic moment = 0.0 Bohr magnetons per cell
E_form (uncorrected) = 0.78 eV/f.u.
symmetry = F-43m, No. 216

a b c (Å): 6.8768 6.8768 6.8768
angles (deg): 90.00 90.00 90.00
Atoms (fractional coordinates):
Zn1 0.0000 0.0000 0.0000
Zn2 0.0000 0.5000 0.5000
Zn3 0.2500 0.2500 0.2500
Zn4 0.2500 0.7500 0.7500
Zn5 0.5000 0.0000 0.5000
Zn6 0.5000 0.5000 0.0000
Zn7 0.7500 0.2500 0.7500
Zn8 0.7500 0.7500 0.2500
Cd1 0.0000 0.0000 0.5000
Cd2 0.0000 0.5000 0.0000
Cd3 0.5000 0.0000 0.0000
Cd4 0.5000 0.5000 0.5000
Cl1 0.2500 0.2500 0.7500
Cl2 0.2500 0.7500 0.2500
Cl3 0.7500 0.2500 0.2500
Cl4 0.7500 0.7500 0.7500

(4)
# Zn2CdCl

Zn2CdCl at its PBEsol-relaxed geometry (meta-GGA SCAN, Alexandria via LeMat-Bulk).

## Properties
DOS at the Fermi energy = 1.3 states/eV/f.u.
energy relative to the lowest polymorph listed for this composition = 0.0 meV per atom
total magnetic moment = 0.0 Bohr magnetons per cell
E_form (uncorrected) = 0.09 eV/f.u.
symmetry = P4/mmm, No. 123

a b c (Å): 5.0286 5.0286 2.9189
angles (deg): 90.00 90.00 90.00
Atoms (fractional coordinates):
Zn1 0.0000 0.5000 0.0000
Zn2 0.5000 0.0000 0.0000
Cd1 0.0000 0.0000 0.5000
Cl1 0.5000 0.5000 0.5000

(5)
# ZnCdCl2

ZnCdCl2 at its PBEsol-relaxed geometry (meta-GGA SCAN, Alexandria via LeMat-Bulk).

## Properties
DOS at the Fermi energy = 1.8 states/eV/f.u.
energy relative to the lowest polymorph listed for this composition = 254.1 meV per atom
total magnetic moment = 1.5 Bohr magnetons per cell
E_form (uncorrected) = -0.97 eV/f.u.
symmetry = Fm-3m, No. 225

a b c (Å): 6.8375 6.8375 6.8375
angles (deg): 90.00 90.00 90.00
Atoms (fractional coordinates):
Zn1 0.0000 0.0000 0.0000
Zn2 0.0000 0.5000 0.5000
Zn3 0.5000 0.0000 0.5000
Zn4 0.5000 0.5000 0.0000
Cd1 0.0000 0.0000 0.5000
Cd2 0.0000 0.5000 0.0000
Cd3 0.5000 0.0000 0.0000
Cd4 0.5000 0.5000 0.5000
Cl1 0.2500 0.2500 0.2500
Cl2 0.2500 0.2500 0.7500
Cl3 0.2500 0.7500 0.2500
Cl4 0.2500 0.7500 0.7500
Cl5 0.7500 0.2500 0.2500
Cl6 0.7500 0.2500 0.7500
Cl7 0.7500 0.7500 0.2500
Cl8 0.7500 0.7500 0.7500

(6)
# ZrCd2Cl

ZrCd2Cl at its PBEsol-relaxed geometry (meta-GGA SCAN, Alexandria via LeMat-Bulk).

## Properties
DOS at the Fermi energy = 2.1 states/eV/f.u.
total magnetic moment = 0.0 Bohr magnetons per cell
E_form (uncorrected) = -1.58 eV/f.u.
symmetry = Cm, No. 8

a b c (Å): 9.4728 3.1249 5.7071
angles (deg): 90.00 101.03 90.00
Atoms (fractional coordinates):
Zr1 0.0000 0.0000 0.0000
Zr2 0.5000 0.5000 0.0000
Cd1 0.0032 0.5000 0.4773
Cd2 0.2537 0.0000 0.6663
Cd3 0.5032 0.0000 0.4773
Cd4 0.7537 0.5000 0.6663
Cl1 0.2248 0.5000 0.1077
Cl2 0.7248 0.0000 0.1077